Tl2MoAs: relaxed, PBE-GGA.

Structure (POSCAR):
```
Tl2MoAs
1.0
3.567 0.000 0.000
0.000 5.049 0.000
0.000 0.000 9.600
Tl Mo As
4 2 2
Cartesian
0.000 0.000 2.404
0.000 0.000 7.197
1.783 2.524 2.397
1.783 2.524 7.204
0.000 2.524 0.000
1.783 0.000 4.800
0.000 2.524 4.800
1.783 0.000 0.000
```

Values from the calculation:
* ΔE to the lowest computed polymorph: 2.341 eV per formula unit
* electronic total energy: -4.30 eV per atom
* formation energy: 0.753 eV/atom
* symmetry: Immm, No. 71

Rb2CaCrH: relaxed, PBE-GGA.

Structure (POSCAR):
```
Rb2CaCrH
1.0
7.664 0.000 0.000
0.000 7.664 0.000
0.000 0.000 3.759
Rb Ca Cr H
2 1 1 1
Cartesian
0.000 3.832 0.000
3.832 0.000 0.000
0.000 0.000 1.880
3.832 3.832 0.000
3.832 3.832 1.880
```

Values from the calculation:
* electronic total energy: -2.73 eV per atom
* symmetry: P4/mmm, No. 123

WSe2I: relaxed, PBE-GGA.

Structure (POSCAR):
```
WSe2I
1.0
11.777 0.000 0.000
0.000 5.769 0.000
-0.377 0.000 7.650
W Se I
4 8 4
Cartesian
0.000 1.409 0.000
0.000 4.360 0.000
5.889 1.475 0.000
5.889 4.294 0.000
-0.208 2.885 5.702
0.433 2.885 1.911
1.590 0.000 7.351
3.828 2.885 6.478
5.681 0.000 5.702
6.322 0.000 1.911
7.479 2.885 7.351
9.716 0.000 6.478
2.832 0.000 4.167
4.631 2.885 2.151
8.720 2.885 4.167
10.519 0.000 2.151
```

Values from the calculation:
* ΔE to the lowest computed polymorph: 0.699 eV per formula unit
* electronic total energy: -5.47 eV per atom
* symmetry: Cm, No. 8

PmLuGaRu: relaxed, PBE-GGA.

Structure (POSCAR):
```
PmLuGaRu
1.0
7.000 0.000 0.000
0.000 7.000 0.000
0.000 0.000 7.000
Pm Lu Ga Ru
4 4 4 4
Cartesian
0.000 0.000 0.000
0.000 3.500 3.500
3.500 0.000 3.500
3.500 3.500 0.000
0.000 0.000 3.500
0.000 3.500 0.000
3.500 0.000 0.000
3.500 3.500 3.500
1.750 1.750 5.250
1.750 5.250 1.750
5.250 1.750 1.750
5.250 5.250 5.250
1.750 1.750 1.750
1.750 5.250 5.250
5.250 1.750 5.250
5.250 5.250 1.750
```

Values from the calculation:
* electronic total energy: -5.80 eV per atom
* formation energy: -0.411 eV/atom
* symmetry: F-43m, No. 216

How do the records compare in total moment? In the order shown, they have 1.70, 4.34, 0.00, 0.00 μB/f.u..